A plane-wave DFT calculation with GGA-PBE was carried out for a relaxed AcPdAu2 crystal.

The excess energy over the best structure of this formula in the dataset comes out at 0.060 eV per atom. For the energy of formation from the pure elements, the calculation gives -263.0 kJ/mol of formula units. For the total energy, the calculation gives -4.645 eV per atom. As for the density of states at the Fermi level: 5.6 states/eV per cell.

The space group is Cmcm (No. 63) and the conventional cell measures 4.115, 21.363 and 4.368 Å, with angles of 90.00, 90.00 and 90.00 degrees. The distinct sites, in fractional coordinates, are Ac at (0.000, 0.113, 0.250), Pd at (0.000, 0.335, 0.250), Au at (0.000, 0.254, 0.750) and Au at (0.000, 0.461, 0.250).